No. 1
DyAlO3 | PBE | relaxed

Geometry as POSCAR:
```
DyAlO3
1.0
3.467 0.000 0.000
0.000 5.619 0.000
0.000 0.000 5.788
O Dy Al
6 2 2
direct
0.500 0.812 0.090
0.000 0.606 0.736
0.500 0.312 0.910
0.500 0.411 0.411
0.500 0.911 0.589
0.000 0.106 0.264
0.000 0.206 0.656
0.000 0.706 0.344
0.500 0.160 0.183
0.500 0.660 0.817
```

Results
Space group = Pmc2_1 (26)
Final energy = -7.911 eV/atom
Formation energy (no corrections) = -3.267 eV/atom

=====

No. 2
Hf8Co2H | PBE | relaxed

Geometry as POSCAR:
```
Hf8Co2H
1.0
5.453 0.000 -2.597
0.022 6.036 0.046
-0.277 0.048 6.441
Hf Co H
8 2 1
direct
0.772 0.893 0.544
0.293 0.755 0.077
0.784 0.755 0.077
0.707 0.245 0.923
0.216 0.245 0.923
0.228 0.107 0.456
0.693 0.391 0.387
0.307 0.609 0.613
0.889 0.552 0.778
0.111 0.448 0.222
0.000 0.000 0.000
```

Results
Space group = C2/m (12)
Final energy = -8.900 eV/atom

=====

No. 3
Be2AlCu | PBE | relaxed

Geometry as POSCAR:
```
Be2AlCu
1.0
7.829 -0.014 -0.008
7.395 2.571 -0.008
7.395 1.242 2.251
Be Al Cu
2 1 1
direct
0.504 0.504 0.504
0.996 0.996 0.996
0.750 0.750 0.750
0.250 0.250 0.250
```

Results
Formation energy = 139 meV/atom
Space group = R-3m (166)
Final energy = -3.683 eV/atom

=====

No. 4
La2PaSbO8 | PBE | relaxed

Geometry as POSCAR:
```
La2PaSbO8
1.0
4.308 -0.289 -0.002
-0.276 5.550 -0.006
0.004 0.008 7.341
O La Pa Sb
8 2 1 1
direct
0.390 0.217 0.000
0.583 0.767 0.500
0.417 0.233 0.500
0.925 0.219 0.234
0.925 0.218 0.765
0.610 0.783 0.000
0.075 0.782 0.235
0.075 0.781 0.766
0.500 0.500 0.759
0.500 0.500 0.241
0.000 0.000 0.500
0.000 0.000 0.000
```

Results
Space group = P2/m (10)
Final energy = -8.116 eV/atom
Formation energy (no corrections) = -2.854 eV/atom